YAgAu2 | GGA-PBEsol | relaxed

Computed properties:
**D(E_F)**: 0.496 states/eV per atom
**Energy of formation from the pure elements**: -0.53 eV per atom

Unit cell a=4.7708 b=4.7708 c=4.7711 alpha=60.00 beta=60.00 gamma=60.00
Last column: nearest neighbours and their distance in Å.
Fractional coordinates of all 4 atoms:
Y 0.5000 0.5000 0.5000  4 Au 2.92, 4 Ag 2.92
Au 0.7499 0.7499 0.7502  4 Y 2.92, 4 Au 2.92
Au 0.0000 0.0000 0.0000  4 Ag 2.92, 4 Au 2.92
Ag 0.2501 0.2501 0.2498  4 Y 2.92, 4 Au 2.92